The following is a DFT calculation (PBE) of an optimized crystal structure of Ba2MoIrS6.

Structure (POSCAR):
```
Ba2MoIrS6
1.0
-3.410 -0.129 5.878
5.097 -3.452 2.881
2.916 2.349 5.672
Ba Ir Mo S
2 1 1 6
direct
0.750 0.250 0.500
0.250 0.750 0.500
0.500 0.500 0.000
0.000 0.000 0.000
0.251 0.251 0.000
0.753 0.251 0.000
0.749 0.749 0.000
0.247 0.749 0.000
0.251 0.251 0.498
0.749 0.749 0.502
```

Uncorrected energy: -5.68 eV per atom

---

The following is a DFT calculation (PBE) of an optimized crystal structure of NbHgPb2.

Structure (POSCAR):
```
NbHgPb2
1.0
0.000 3.705 3.705
3.705 0.000 3.705
3.705 3.705 0.000
Hg Nb Pb
1 1 2
direct
0.500 0.500 0.500
0.750 0.750 0.750
0.000 0.000 0.000
0.250 0.250 0.250
```

Uncorrected energy: -3.84 eV per atom